No. 1
First-principles (PBE) data for a relaxed KNaH2 crystal, as listed in the Alexandria database.

Cell lengths 4.5319, 4.5319, 4.5319 Å; angles 60.00, 60.00, 60.00 degrees
Fractional positions:
1 Na 0.0000 0.0000 0.0000
2 K 0.5000 0.5000 0.5000
3 H 0.2500 0.2500 0.2500
4 H 0.7500 0.7500 0.7500

* distance to the lowest polymorph of the same formula: 0.140 eV per atom
* calculated volume: 65.8 Å³/cell
* crystal system: cubic

No. 2
First-principles (PBE) data for a relaxed KNa2H6 crystal, as listed in the Alexandria database.

Cell lengths 7.1204, 7.7022, 7.7023 Å; angles 94.66, 62.45, 62.45 degrees
Fractional positions:
1 K 0.2500 0.2498 0.7502
2 K 0.7500 0.7502 0.2498
3 Na 0.0000 0.8686 0.6315
4 Na 0.5000 0.3685 0.1314
5 Na 0.0000 0.1314 0.3685
6 Na 0.5000 0.6315 0.8686
7 H 0.5572 0.4978 0.5022
8 H 0.9428 0.4978 0.5022
9 H 0.4428 0.5022 0.4978
10 H 0.0572 0.5022 0.4978
11 H 0.7687 0.9998 0.4999
12 H 0.7313 0.5001 0.0002
13 H 0.2313 0.0002 0.5001
14 H 0.2687 0.4999 0.9998
15 H 0.0572 0.9977 0.0023
16 H 0.4428 0.9977 0.0023
17 H 0.9428 0.0023 0.9977
18 H 0.5572 0.0023 0.9977

* distance to the lowest polymorph of the same formula: 0.000 eV per atom
* calculated volume: 307.8 Å³/cell
* crystal system: orthorhombic

No. 3
First-principles (PBE) data for a relaxed K2NaH2 crystal, as listed in the Alexandria database.

Cell lengths 4.9900, 4.9900, 7.4329 Å; angles 70.39, 70.39, 90.00 degrees
Fractional positions:
1 Na 0.0000 0.0000 0.0000
2 K 0.3141 0.3141 0.3719
3 K 0.6859 0.6859 0.6281
4 H 0.7500 0.2500 0.5000
5 H 0.2500 0.7500 0.5000

* distance to the lowest polymorph of the same formula: 0.000 eV per atom
* calculated volume: 162.9 Å³/cell
* crystal system: tetragonal

No. 4
First-principles (PBE) data for a relaxed K2NaH6 crystal, as listed in the Alexandria database.

Cell lengths 5.7932, 5.7932, 5.7932 Å; angles 60.00, 60.00, 60.00 degrees
Site moments in Bohr magnetons follow the coordinates.
Fractional positions:
1 Na 0.0000 0.0000 0.0000  0.01
2 K 0.7500 0.7500 0.7500  0.01
3 K 0.2500 0.2500 0.2500  0.01
4 H 0.2736 0.7264 0.2736  0.20
5 H 0.7264 0.2736 0.2736  0.20
6 H 0.2736 0.7264 0.7264  0.20
7 H 0.7264 0.2736 0.7264  0.20
8 H 0.7264 0.7264 0.2736  0.20
9 H 0.2736 0.2736 0.7264  0.20

* calculated volume: 137.5 Å³/cell
* VASP energy: -18.11 eV for the cell shown
* crystal system: cubic

No. 5
First-principles (PBE) data for a relaxed KNa3H4 crystal, as listed in the Alexandria database.

Cell lengths 5.0671, 5.0671, 5.0671 Å; angles 90.00, 90.00, 90.00 degrees
Fractional positions:
1 K 0.5000 0.5000 0.5000
2 Na 0.0000 0.0000 0.5000
3 Na 0.0000 0.5000 0.0000
4 Na 0.5000 0.0000 0.0000
5 H 0.0000 0.0000 0.0000
6 H 0.5000 0.5000 0.0000
7 H 0.5000 0.0000 0.5000
8 H 0.0000 0.5000 0.5000

* distance to the lowest polymorph of the same formula: 0.010 eV per atom
* calculated volume: 130.1 Å³/cell
* crystal system: cubic

No. 6
First-principles (PBE) data for a relaxed KNaH2 crystal, as listed in the Alexandria database.

Cell lengths 3.7418, 3.7418, 5.2630 Å; angles 90.00, 90.00, 90.00 degrees
Fractional positions:
1 Na 0.0000 0.0000 0.5000
2 K 0.5000 0.5000 0.0000
3 H 0.0000 0.0000 0.0000
4 H 0.5000 0.5000 0.5000

* distance to the lowest polymorph of the same formula: 0.025 eV per atom
* calculated volume: 73.7 Å³/cell
* crystal system: tetragonal

No. 7
First-principles (PBE) data for a relaxed K12Na3H5 crystal, as listed in the Alexandria database.

Cell lengths 16.5693, 16.5693, 16.5693 Å; angles 109.47, 109.47, 109.47 degrees
Fractional positions:
1 Na 0.7500 0.3750 0.1250
2 Na 0.8750 0.7500 0.1250
3 Na 0.3750 0.7500 0.6250
4 Na 0.2500 0.1250 0.3750
5 Na 0.8750 0.1250 0.2500
6 Na 0.3750 0.6250 0.2500
7 Na 0.6250 0.3750 0.7500
8 Na 0.1250 0.8750 0.7500
9 Na 0.7500 0.8750 0.6250
10 Na 0.6250 0.2500 0.3750
11 Na 0.1250 0.2500 0.8750
12 Na 0.2500 0.6250 0.8750
13 H 0.1250 0.3750 0.2500
14 H 0.0000 0.5000 0.0000
15 H 0.0000 0.0000 0.0000
16 H 0.3750 0.2500 0.1250
17 H 0.5000 0.0000 0.5000
18 H 0.5000 0.5000 0.0000
19 H 0.1250 0.7500 0.3750
20 H 0.7500 0.1250 0.8750
21 H 0.7500 0.6250 0.3750
22 H 0.3750 0.1250 0.7500
23 H 0.6250 0.8750 0.2500
24 H 0.5000 0.5000 0.5000
25 H 0.5000 0.0000 0.0000
26 H 0.0000 0.0000 0.5000
27 H 0.2500 0.3750 0.6250
28 H 0.2500 0.8750 0.1250
29 H 0.0000 0.5000 0.5000
30 H 0.8750 0.2500 0.6250
31 H 0.6250 0.7500 0.8750
32 H 0.8750 0.6250 0.7500
33 K 0.6882 0.1054 0.9996
34 K 0.3113 0.4996 0.3942
35 K 0.0004 0.3946 0.3118
36 K 0.4996 0.1882 0.1054
37 K 0.5828 0.6882 0.6887
38 K 0.0004 0.6058 0.1887
39 K 0.3113 0.8118 0.4172
40 K 0.1058 0.9172 0.1054
41 K 0.6058 0.0004 0.6887
42 K 0.6882 0.5828 0.1887
43 K 0.8118 0.5004 0.3946
44 K 0.8113 0.8942 0.9996
45 K 0.1054 0.6882 0.4996
46 K 0.3946 0.3942 0.0828
47 K 0.0828 0.8942 0.3946
48 K 0.4172 0.1054 0.6058
49 K 0.0828 0.1887 0.1882
50 K 0.5004 0.6887 0.1058
51 K 0.8113 0.9172 0.3118
52 K 0.1054 0.4172 0.1058
53 K 0.3946 0.0004 0.8118
54 K 0.6058 0.6054 0.4172
55 K 0.8942 0.8113 0.4996
56 K 0.8118 0.3113 0.9172
57 K 0.3942 0.3946 0.5828
58 K 0.1058 0.1887 0.5004
59 K 0.1882 0.6887 0.0828
60 K 0.1887 0.0828 0.6882
61 K 0.6054 0.9996 0.1882
62 K 0.8946 0.5828 0.8942
63 K 0.4996 0.3113 0.8942
64 K 0.5828 0.8946 0.3942
65 K 0.9172 0.8113 0.8118
66 K 0.9172 0.1058 0.6054
67 K 0.8946 0.3118 0.5004
68 K 0.1887 0.1058 0.0004
69 K 0.6054 0.6058 0.9172
70 K 0.3942 0.9996 0.3113
71 K 0.3118 0.4172 0.8113
72 K 0.1882 0.4996 0.6054
73 K 0.8942 0.0828 0.8946
74 K 0.6887 0.1882 0.5828
75 K 0.5004 0.8118 0.8946
76 K 0.9996 0.3942 0.8113
77 K 0.4172 0.3118 0.3113
78 K 0.9996 0.6054 0.6882
79 K 0.6887 0.5004 0.6058
80 K 0.3118 0.8946 0.0004

* calculated volume: 3501.8 Å³/cell
* VASP energy: -132.84 eV for the cell shown
* crystal system: cubic

No. 8
First-principles (PBE) data for a relaxed KNaH2 crystal, as listed in the Alexandria database.

Cell lengths 3.6029, 3.6029, 6.6404 Å; angles 74.26, 74.26, 60.00 degrees
Fractional positions:
1 K 0.4982 0.4982 0.5055
2 Na 0.6682 0.6682 0.9954
3 H 0.0736 0.0736 0.7793
4 H 0.2601 0.2601 0.2198

* distance to the lowest polymorph of the same formula: 0.030 eV per atom
* calculated volume: 70.9 Å³/cell
* crystal system: trigonal

No. 9
First-principles (PBE) data for a relaxed K2Na4H crystal, as listed in the Alexandria database.

Cell lengths 5.1458, 5.1458, 11.2650 Å; angles 103.20, 103.20, 90.00 degrees
Fractional positions:
1 Na 0.8896 0.8896 0.7792
2 Na 0.1104 0.1104 0.2208
3 Na 0.0000 0.5000 0.0000
4 Na 0.5000 0.0000 0.0000
5 K 0.6850 0.6850 0.3700
6 K 0.3150 0.3150 0.6300
7 H 0.0000 0.0000 0.0000

* calculated volume: 282.3 Å³/cell
* VASP energy: -10.47 eV for the cell shown
* crystal system: tetragonal

No. 10
First-principles (PBE) data for a relaxed K2Na2H crystal, as listed in the Alexandria database.

Cell lengths 4.2105, 4.2105, 11.2334 Å; angles 79.20, 79.20, 90.00 degrees
Fractional positions:
1 Na 0.7500 0.2500 0.5000
2 Na 0.2500 0.7500 0.5000
3 K 0.4185 0.4185 0.1630
4 K 0.5815 0.5815 0.8370
5 H 0.0000 0.0000 0.0000

* calculated volume: 192.0 Å³/cell
* VASP energy: -7.50 eV for the cell shown
* crystal system: tetragonal